No. 1
The following is a DFT calculation (GGA-PBE) of an optimized crystal structure of Tl8InHg4.

Lattice parameters (Å, degrees): 5.1914 5.6288 14.4318 91.58 92.49 115.27
Sites, in units of the cell vectors:
Tl 0.0562 0.1078 0.1137
Tl 0.1870 0.3783 0.5754
Tl 0.2504 0.5078 0.8137
Tl 0.4424 0.8761 0.2717
Tl 0.5576 0.1239 0.7283
Tl 0.7496 0.4922 0.1863
Tl 0.8130 0.6217 0.4246
Tl 0.9438 0.8922 0.8863
In 0.5000 0.0000 0.5000
Hg 0.1278 0.2475 0.3443
Hg 0.3554 0.7086 0.0393
Hg 0.6446 0.2914 0.9607
Hg 0.8722 0.7525 0.6557

Results
Distance to the lowest polymorph of the same formula in meV per atom: 0
Magnetization in μB per cell: 0.0
Formation enthalpy at 0 K in meV per atom: 13


No. 2
The following is a DFT calculation (GGA-PBE) of an optimized crystal structure of MnTlOs2.

Lattice parameters (Å, degrees): 4.8194 4.8194 4.8194 130.89 130.89 71.99
Sites, in units of the cell vectors:
Mn 0.0000 0.0000 0.0000
Tl 0.5000 0.5000 0.0000
Os 0.2500 0.7500 0.5000
Os 0.7500 0.2500 0.5000

Results
Distance to the lowest polymorph of the same formula in meV per atom: 269
Magnetization in μB per cell: 1.9
Formation enthalpy at 0 K in meV per atom: 753


No. 3
The following is a DFT calculation (GGA-PBE) of an optimized crystal structure of Sm11Y4Tm9.

Lattice parameters (Å, degrees): 15.2726 15.2726 3.6340 90.00 90.00 113.27
Sites, in units of the cell vectors:
Sm 0.0000 0.0000 0.0000
Sm 0.0414 0.4045 0.0000
Sm 0.1610 0.8390 0.0000
Sm 0.2898 0.2898 0.0000
Sm 0.3677 0.6323 0.0000
Sm 0.4045 0.0414 0.0000
Sm 0.5955 0.9586 0.0000
Sm 0.6323 0.3677 0.0000
Sm 0.7102 0.7102 0.0000
Sm 0.8390 0.1610 0.0000
Sm 0.9586 0.5955 0.0000
Y 0.2415 0.4442 0.5000
Y 0.4442 0.2415 0.5000
Y 0.5558 0.7585 0.5000
Y 0.7585 0.5558 0.5000
Tm 0.0667 0.2129 0.5000
Tm 0.1656 0.6304 0.5000
Tm 0.2129 0.0667 0.5000
Tm 0.3696 0.8344 0.5000
Tm 0.5000 0.5000 0.5000
Tm 0.6304 0.1656 0.5000
Tm 0.7871 0.9333 0.5000
Tm 0.8344 0.3696 0.5000
Tm 0.9333 0.7871 0.5000

Results
Magnetization in μB per cell: 0.0
Formation enthalpy at 0 K in meV per atom: 64


No. 4
The following is a DFT calculation (GGA-PBE) of an optimized crystal structure of Nd12Ni6Te.

Lattice parameters (Å, degrees): 8.7551 8.7551 8.7551 109.47 109.47 109.47
Sites, in units of the cell vectors:
Nd 0.1224 0.8124 0.3100
Nd 0.1876 0.3100 0.4975
Nd 0.1876 0.6900 0.8776
Nd 0.3100 0.1224 0.8124
Nd 0.3100 0.4975 0.1876
Nd 0.4975 0.1876 0.3100
Nd 0.5025 0.8124 0.6900
Nd 0.6900 0.5025 0.8124
Nd 0.6900 0.8776 0.1876
Nd 0.8124 0.3100 0.1224
Nd 0.8124 0.6900 0.5025
Nd 0.8776 0.1876 0.6900
Ni 0.1213 0.6213 0.5000
Ni 0.3787 0.5000 0.8787
Ni 0.5000 0.1213 0.6213
Ni 0.5000 0.8787 0.3787
Ni 0.6213 0.5000 0.1213
Ni 0.8787 0.3787 0.5000
Te 0.0000 0.0000 0.0000

Results
Raw formation energy in eV/atom: -0.34
Magnetization in μB per cell: 0.0


No. 5
The following is a DFT calculation (GGA-PBE) of an optimized crystal structure of Ba6Sb2PS.

Lattice parameters (Å, degrees): 7.9974 9.0494 14.2071 90.00 124.16 90.00
Sites, in units of the cell vectors:
Ba 0.1157 0.1881 0.4347
Ba 0.1157 0.3119 0.9347
Ba 0.2578 0.6939 0.4374
Ba 0.2578 0.8061 0.9374
Ba 0.3791 0.0465 0.2507
Ba 0.3791 0.4535 0.7507
Ba 0.6209 0.5465 0.2493
Ba 0.6209 0.9535 0.7493
Ba 0.7422 0.1939 0.0626
Ba 0.7422 0.3061 0.5626
Ba 0.8843 0.6881 0.0653
Ba 0.8843 0.8119 0.5653
Sb 0.2091 0.0954 0.7521
Sb 0.2091 0.4046 0.2521
Sb 0.7909 0.5954 0.7479
Sb 0.7909 0.9046 0.2479
P 0.5000 0.0000 0.5000
P 0.5000 0.5000 0.0000
S 0.0000 0.0000 0.0000
S 0.0000 0.5000 0.5000

Results
Raw formation energy in eV/atom: -1.17
Magnetization in μB per cell: 2.0


No. 6
The following is a DFT calculation (GGA-PBE) of an optimized crystal structure of BeP2ICl.

Lattice parameters (Å, degrees): 5.2331 5.2331 5.3111 90.00 90.00 90.00
Sites, in units of the cell vectors:
Be 0.0000 0.0000 0.0000
P 0.0000 0.5000 0.5000
P 0.5000 0.0000 0.5000
I 0.5000 0.5000 0.5000
Cl 0.5000 0.5000 0.0000

Results
Raw formation energy in eV/atom: 1.62
Distance to the lowest polymorph of the same formula in meV per atom: 1146
Magnetization in μB per cell: 0.6


No. 7
The following is a DFT calculation (GGA-PBE) of an optimized crystal structure of LaTaGaO6.

Lattice parameters (Å, degrees): 5.2797 5.2797 10.3698 90.00 90.00 120.00
Sites, in units of the cell vectors:
La 0.0000 0.0000 0.0000
La 0.0000 0.0000 0.5000
Ta 0.3333 0.6667 0.2500
Ta 0.6667 0.3333 0.7500
Ga 0.3333 0.6667 0.7500
Ga 0.6667 0.3333 0.2500
O 0.0010 0.3708 0.1431
O 0.0010 0.6302 0.3569
O 0.3698 0.3708 0.3569
O 0.3698 0.9990 0.1431
O 0.3708 0.0010 0.6431
O 0.3708 0.3698 0.8569
O 0.6292 0.6302 0.1431
O 0.6292 0.9990 0.3569
O 0.6302 0.0010 0.8569
O 0.6302 0.6292 0.6431
O 0.9990 0.3698 0.6431
O 0.9990 0.6292 0.8569

Results
Raw formation energy in eV/atom: -2.50
Magnetization in μB per cell: 2.2


No. 8
The following is a DFT calculation (GGA-PBE) of an optimized crystal structure of HfBeAlGa2.

Lattice parameters (Å, degrees): 4.4012 4.4012 4.4181 90.00 90.00 90.00
Sites, in units of the cell vectors:
Hf 0.0000 0.0000 0.0000
Be 0.5000 0.5000 0.5000
Al 0.5000 0.5000 0.0000
Ga 0.0000 0.5000 0.5000
Ga 0.5000 0.0000 0.5000

Results
Magnetization in μB per cell: 0.0
Formation enthalpy at 0 K in meV per atom: 343


No. 9
The following is a DFT calculation (GGA-PBE) of an optimized crystal structure of LaCePaAl.

Lattice parameters (Å, degrees): 5.3182 5.3182 5.3182 60.00 60.00 60.00
Sites, in units of the cell vectors:
La 0.0000 0.0000 0.0000
Ce 0.5000 0.5000 0.5000
Pa 0.7500 0.7500 0.7500
Al 0.2500 0.2500 0.2500

Results
Magnetization in μB per cell: 1.8
Formation enthalpy at 0 K in meV per atom: 176


No. 10
The following is a DFT calculation (GGA-PBE) of an optimized crystal structure of Al2P3S9.

Lattice parameters (Å, degrees): 10.2406 10.2406 7.4617 103.22 103.22 60.00
Sites, in units of the cell vectors:
Al 0.0000 0.0000 0.0000
Al 0.3039 0.3482 0.9997
Al 0.6516 0.3484 0.0000
Al 0.6518 0.6961 0.0003
P 0.3054 0.6692 0.8486
P 0.3308 0.6946 0.1514
P 0.6265 0.0019 0.8486
P 0.6771 0.0273 0.1512
P 0.9727 0.3229 0.8488
P 0.9981 0.3735 0.1514
S 0.0611 0.0960 0.7776
S 0.0734 0.4234 0.7705
S 0.0783 0.7703 0.7706
S 0.2253 0.2732 0.2289
S 0.2297 0.9217 0.2294
S 0.2422 0.5794 0.2219
S 0.3994 0.1171 0.7774
S 0.4040 0.4302 0.7911
S 0.4206 0.7578 0.7781
S 0.5556 0.2663 0.2087
S 0.5698 0.5960 0.2089
S 0.5766 0.9266 0.2295
S 0.7268 0.7747 0.7711
S 0.7337 0.4444 0.7913
S 0.7479 0.1005 0.7912
S 0.8829 0.6006 0.2226
S 0.8995 0.2521 0.2088
S 0.9040 0.9389 0.2224

Results
Raw formation energy in eV/atom: -0.51
Magnetization in μB per cell: 0.0


No. 11
The following is a DFT calculation (GGA-PBE) of an optimized crystal structure of CuSi2Ni2.

Lattice parameters (Å, degrees): 6.7379 6.7379 2.6167 90.00 90.00 90.00
Sites, in units of the cell vectors:
Cu 0.0000 0.0000 0.0000
Cu 0.5000 0.5000 0.0000
Si 0.1560 0.3440 0.0000
Si 0.3440 0.8440 0.0000
Si 0.6560 0.1560 0.0000
Si 0.8440 0.6560 0.0000
Ni 0.1398 0.6398 0.5000
Ni 0.3602 0.1398 0.5000
Ni 0.6398 0.8602 0.5000
Ni 0.8602 0.3602 0.5000

Results
Raw formation energy in eV/atom: -0.28
Distance to the lowest polymorph of the same formula in meV per atom: 0
Magnetization in μB per cell: 0.0


No. 12
The following is a DFT calculation (GGA-PBE) of an optimized crystal structure of Ac12DyRh7.

Lattice parameters (Å, degrees): 9.4980 9.4980 9.4980 107.36 107.36 107.36
Sites, in units of the cell vectors:
Ac 0.0512 0.1278 0.3457
Ac 0.1278 0.3457 0.0512
Ac 0.1871 0.5764 0.7214
Ac 0.2786 0.8129 0.4236
Ac 0.3457 0.0512 0.1278
Ac 0.4236 0.2786 0.8129
Ac 0.5764 0.7214 0.1871
Ac 0.6543 0.9488 0.8722
Ac 0.7214 0.1871 0.5764
Ac 0.8129 0.4236 0.2786
Ac 0.8722 0.6543 0.9488
Ac 0.9488 0.8722 0.6543
Dy 0.5000 0.5000 0.5000
Rh 0.0000 0.0000 0.0000
Rh 0.1560 0.4739 0.3849
Rh 0.3849 0.1560 0.4739
Rh 0.4739 0.3849 0.1560
Rh 0.5261 0.6151 0.8440
Rh 0.6151 0.8440 0.5261
Rh 0.8440 0.5261 0.6151

Results
Magnetization in μB per cell: 0.0
Formation enthalpy at 0 K in meV per atom: -555


No. 13
The following is a DFT calculation (GGA-PBE) of an optimized crystal structure of CePuZrTi.

Lattice parameters (Å, degrees): 5.0884 5.0884 5.0884 60.00 60.00 60.00
Sites, in units of the cell vectors:
Ce 0.0000 0.0000 0.0000
Pu 0.5000 0.5000 0.5000
Zr 0.2500 0.2500 0.2500
Ti 0.7500 0.7500 0.7500

Results
Magnetization in μB per cell: 6.8
Formation enthalpy at 0 K in meV per atom: 270


No. 14
The following is a DFT calculation (GGA-PBE) of an optimized crystal structure of Pr2MgAs3Rh4.

Lattice parameters (Å, degrees): 4.1462 4.1462 10.9141 90.00 90.00 90.00
Sites, in units of the cell vectors:
Pr 0.0000 0.5000 0.2445
Pr 0.5000 0.0000 0.7555
Mg 0.0000 0.0000 0.5000
As 0.0000 0.5000 0.8684
As 0.5000 0.0000 0.1316
As 0.5000 0.5000 0.5000
Rh 0.0000 0.0000 0.0000
Rh 0.0000 0.5000 0.6463
Rh 0.5000 0.0000 0.3537
Rh 0.5000 0.5000 0.0000

Results
Magnetization in μB per cell: 0.0
Formation enthalpy at 0 K in meV per atom: -891


No. 15
The following is a DFT calculation (GGA-PBE) of an optimized crystal structure of Ca2CdBi2.

Lattice parameters (Å, degrees): 6.4972 6.4972 6.4972 122.13 122.13 86.34
Sites, in units of the cell vectors:
Ca 0.2500 0.7500 0.5000
Ca 0.7500 0.2500 0.5000
Cd 0.0000 0.0000 0.0000
Bi 0.3203 0.3203 0.0000
Bi 0.6797 0.6797 0.0000

Results
Magnetization in μB per cell: 0.0
Formation enthalpy at 0 K in meV per atom: -381


No. 16
The following is a DFT calculation (GGA-PBE) of an optimized crystal structure of LiAlRe2.

Lattice parameters (Å, degrees): 4.2848 4.2848 4.2848 120.09 120.09 89.84
Sites, in units of the cell vectors:
Li 0.0000 0.0000 0.0000
Al 0.7500 0.2500 0.5000
Re 0.2500 0.7500 0.5000
Re 0.5000 0.5000 0.0000

Results
Magnetization in μB per cell: 0.0
Formation enthalpy at 0 K in meV per atom: -198


No. 17
The following is a DFT calculation (GGA-PBE) of an optimized crystal structure of Dy2HPb.

Lattice parameters (Å, degrees): 8.3077 8.3077 8.3077 24.77 24.77 24.77
Sites, in units of the cell vectors:
Dy 0.2234 0.2234 0.2234
Dy 0.7766 0.7766 0.7766
H 0.5000 0.5000 0.5000
Pb 0.0000 0.0000 0.0000

Results
Distance to the lowest polymorph of the same formula in meV per atom: 198
Magnetization in μB per cell: 0.0


No. 18
The following is a DFT calculation (GGA-PBE) of an optimized crystal structure of SrTcHg2.

Lattice parameters (Å, degrees): 3.5396 3.5396 7.5379 90.00 90.00 90.00
Sites, in units of the cell vectors:
Sr 0.0000 0.0000 0.0000
Tc 0.0000 0.0000 0.5000
Hg 0.5000 0.5000 0.2938
Hg 0.5000 0.5000 0.7062

Results
Distance to the lowest polymorph of the same formula in meV per atom: 29
Magnetization in μB per cell: 2.1
Formation enthalpy at 0 K in meV per atom: 320


No. 19
The following is a DFT calculation (GGA-PBE) of an optimized crystal structure of Ac2CuI.

Lattice parameters (Å, degrees): 8.8519 8.8519 8.8519 29.18 29.18 29.18
Sites, in units of the cell vectors:
Ac 0.0000 0.0000 0.0000
Ac 0.2028 0.2028 0.2028
Cu 0.6013 0.6013 0.6013
I 0.7689 0.7689 0.7689

Results
Raw formation energy in eV/atom: -0.54
Distance to the lowest polymorph of the same formula in meV per atom: 6
Magnetization in μB per cell: 0.0


No. 20
The following is a DFT calculation (GGA-PBE) of an optimized crystal structure of HfZn3Ni.

Lattice parameters (Å, degrees): 6.4712 3.5033 7.1227 90.00 105.90 90.00
Sites, in units of the cell vectors:
Hf 0.1874 0.2500 0.1601
Hf 0.8126 0.7500 0.8399
Zn 0.0810 0.2500 0.6565
Zn 0.3167 0.7500 0.8972
Zn 0.3300 0.7500 0.5122
Zn 0.6700 0.2500 0.4878
Zn 0.6833 0.2500 0.1028
Zn 0.9190 0.7500 0.3435
Ni 0.4997 0.2500 0.7549
Ni 0.5003 0.7500 0.2451

Results
Distance to the lowest polymorph of the same formula in meV per atom: 0
Magnetization in μB per cell: 0.0
Formation enthalpy at 0 K in meV per atom: -191


No. 21
The following is a DFT calculation (GGA-PBE) of an optimized crystal structure of Zn4InS6.

Lattice parameters (Å, degrees): 3.8409 3.8409 18.2643 90.00 90.00 120.00
Sites, in units of the cell vectors:
Zn 0.3333 0.6667 0.1188
Zn 0.3333 0.6667 0.7068
Zn 0.6667 0.3333 0.2932
Zn 0.6667 0.3333 0.8812
In 0.0000 0.0000 0.5000
S 0.3333 0.6667 0.2506
S 0.3333 0.6667 0.5778
S 0.3333 0.6667 0.9209
S 0.6667 0.3333 0.0791
S 0.6667 0.3333 0.4222
S 0.6667 0.3333 0.7494

Results
Raw formation energy in eV/atom: -0.60
Magnetization in μB per cell: 0.0


No. 22
The following is a DFT calculation (GGA-PBE) of an optimized crystal structure of Tb3Ag3Au2.

Lattice parameters (Å, degrees): 7.5618 7.5618 3.7475 90.00 90.00 120.00
Sites, in units of the cell vectors:
Tb 0.0000 0.3959 0.0000
Tb 0.3959 0.0000 0.0000
Tb 0.6041 0.6041 0.0000
Ag 0.0000 0.7737 0.5000
Ag 0.2263 0.2263 0.5000
Ag 0.7737 0.0000 0.5000
Au 0.3333 0.6667 0.5000
Au 0.6667 0.3333 0.5000

Results
Magnetization in μB per cell: 0.0
Formation enthalpy at 0 K in meV per atom: -540